VASP calculation (GGA-PBE) on an optimized crystal structure of DyErAlFe.

Output
calculated formation energy	-0.08	eV/atom
E	-5.43	eV/atom

```
data_DyErAlFe
_symmetry_space_group_name_H-M 'F -4 3 m'
_symmetry_Int_Tables_number 216
_symmetry_space_group_name_Hall 'F -4 2 3'
_cell_length_a 6.997
_cell_length_b 6.997
_cell_length_c 6.997
_cell_angle_alpha 90.00
_cell_angle_beta 90.00
_cell_angle_gamma 90.00
loop_
_atom_site_label
_atom_site_fract_x
_atom_site_fract_y
_atom_site_fract_z
Dy1 0.000 0.000 0.000
Er1 0.000 0.000 0.500
Al1 0.250 0.250 0.750
Fe1 0.250 0.250 0.250
```

***

VASP calculation (GGA-PBE) on an optimized crystal structure of SmYSb2.

Output
E	-5.91	eV/atom
formation energy (no corrections)	-1.0506	eV/atom

```
data_SmYSb2
_symmetry_space_group_name_H-M 'R 3 m'
_symmetry_Int_Tables_number 160
_symmetry_space_group_name_Hall 'R 3 -2"'
_cell_length_a 4.4011
_cell_length_b 4.4011
_cell_length_c 22.5247
_cell_angle_alpha 90.00
_cell_angle_beta 90.00
_cell_angle_gamma 120.00
loop_
_atom_site_label
_atom_site_fract_x
_atom_site_fract_y
_atom_site_fract_z
Sm1 0.0000 0.0000 0.0000
Y1 0.0000 0.0000 0.1710
Sb1 0.0000 0.0000 0.4193
Sb2 0.0000 0.0000 0.5854
```

***

VASP calculation (GGA-PBE) on an optimized crystal structure of TbNd2Hg.

Output
calculated formation energy	-0.07	eV/atom
E	-3.69	eV/atom

```
data_TbNd2Hg
_symmetry_space_group_name_H-M 'F m -3 m'
_symmetry_Int_Tables_number 225
_symmetry_space_group_name_Hall '-F 4 2 3'
_cell_length_a 7.825
_cell_length_b 7.825
_cell_length_c 7.825
_cell_angle_alpha 90.00
_cell_angle_beta 90.00
_cell_angle_gamma 90.00
loop_
_atom_site_label
_atom_site_fract_x
_atom_site_fract_y
_atom_site_fract_z
Tb1 0.000 0.000 0.000
Nd1 0.250 0.250 0.250
Hg1 0.000 0.000 0.500
```

***

VASP calculation (GGA-PBE) on an optimized crystal structure of TcPH2.

Output
E	-4.77	eV/atom

```
data_TcPH2
_symmetry_space_group_name_H-M 'F m -3 m'
_symmetry_Int_Tables_number 225
_symmetry_space_group_name_Hall '-F 4 2 3'
_cell_length_a 5.139
_cell_length_b 5.139
_cell_length_c 5.139
_cell_angle_alpha 90.00
_cell_angle_beta 90.00
_cell_angle_gamma 90.00
loop_
_atom_site_label
_atom_site_fract_x
_atom_site_fract_y
_atom_site_fract_z
Tc1 0.000 0.000 0.000
P1 0.000 0.000 0.500
H1 0.250 0.250 0.250
```

***

VASP calculation (GGA-PBE) on an optimized crystal structure of SrGaAgHg.

Output
calculated formation energy	-0.24	eV/atom
E	-2.20	eV/atom

```
data_SrGaAgHg
_symmetry_space_group_name_H-M 'F -4 3 m'
_symmetry_Int_Tables_number 216
_symmetry_space_group_name_Hall 'F -4 2 3'
_cell_length_a 7.348
_cell_length_b 7.348
_cell_length_c 7.348
_cell_angle_alpha 90.00
_cell_angle_beta 90.00
_cell_angle_gamma 90.00
loop_
_atom_site_label
_atom_site_fract_x
_atom_site_fract_y
_atom_site_fract_z
Sr1 0.000 0.000 0.000
Ga1 0.000 0.000 0.500
Ag1 0.250 0.250 0.750
Hg1 0.250 0.250 0.250
```

***

VASP calculation (GGA-PBE) on an optimized crystal structure of Zn3Ag7Au.

Output
calculated formation energy	0.12	eV/atom
E	-2.34	eV/atom

```
data_Zn3Ag7Au
_symmetry_space_group_name_H-M 'C 1 2/m 1'
_symmetry_Int_Tables_number 12
_cell_length_a 8.884
_cell_length_b 9.634
_cell_length_c 5.330
_cell_angle_alpha 90.00
_cell_angle_beta 114.91
_cell_angle_gamma 90.00
loop_
_symmetry_equiv_pos_as_xyz
'x,y,z'
'-x,-y,-z'
'-x,y,-z'
'x,-y,z'
'x+1/2,y+1/2,z'
'-x+1/2,-y+1/2,-z'
'-x+1/2,y+1/2,-z'
'x+1/2,-y+1/2,z'
loop_
_atom_site_label
_atom_site_fract_x
_atom_site_fract_y
_atom_site_fract_z
Zn1 0.000 0.000 0.000
Zn2 0.000 0.227 0.500
Ag1 0.000 0.500 0.500
Ag2 0.174 0.236 0.186
Ag3 0.184 0.000 0.551
Au1 0.000 0.500 0.000
```

***

VASP calculation (GGA-PBE) on an optimized crystal structure of Tb4SmEr3.

Output
calculated formation energy	0.22	eV/atom
E	-4.40	eV/atom

```
data_Tb4SmEr3
_symmetry_space_group_name_H-M 'C m m m'
_symmetry_Int_Tables_number 65
_symmetry_space_group_name_Hall '-C 2 2'
_cell_length_a 5.632
_cell_length_b 25.978
_cell_length_c 3.556
_cell_angle_alpha 90.00
_cell_angle_beta 90.00
_cell_angle_gamma 90.00
loop_
_atom_site_label
_atom_site_fract_x
_atom_site_fract_y
_atom_site_fract_z
Tb1 0.000 0.105 0.000
Tb2 0.000 0.224 0.000
Sm1 0.000 0.000 0.500
Er1 0.000 0.345 0.500
Er2 0.000 0.500 0.000
```

***

VASP calculation (GGA-PBE) on an optimized crystal structure of CaTlSe2.

Output
E	-3.82	eV/atom
formation energy (no corrections)	-0.9881	eV/atom

```
data_CaTlSe2
_symmetry_space_group_name_H-M 'R 3 m'
_symmetry_Int_Tables_number 160
_symmetry_space_group_name_Hall 'R 3 -2"'
_cell_length_a 4.2283
_cell_length_b 4.2283
_cell_length_c 22.0113
_cell_angle_alpha 90.00
_cell_angle_beta 90.00
_cell_angle_gamma 120.00
loop_
_atom_site_label
_atom_site_fract_x
_atom_site_fract_y
_atom_site_fract_z
Ca1 0.0000 0.0000 0.0000
Tl1 0.0000 0.0000 0.1679
Se1 0.0000 0.0000 0.4094
Se2 0.0000 0.0000 0.5897
```

***

VASP calculation (GGA-PBE) on an optimized crystal structure of SrLiCo2.

Output
calculated formation energy	0.67	eV/atom
E	-3.78	eV/atom

```
data_SrLiCo2
_symmetry_space_group_name_H-M 'I m m m'
_symmetry_Int_Tables_number 71
_symmetry_space_group_name_Hall '-I 2 2'
_cell_length_a 3.558
_cell_length_b 4.282
_cell_length_c 9.120
_cell_angle_alpha 90.00
_cell_angle_beta 90.00
_cell_angle_gamma 90.00
loop_
_atom_site_label
_atom_site_fract_x
_atom_site_fract_y
_atom_site_fract_z
Sr1 0.000 0.000 0.000
Li1 0.000 0.000 0.500
Co1 0.000 0.500 0.241
```

***

VASP calculation (GGA-PBE) on an optimized crystal structure of MgPtBr2.

Output
E	-3.20	eV/atom
formation energy (no corrections)	-0.4531	eV/atom

```
data_MgPtBr2
_symmetry_space_group_name_H-M 'C m m 2'
_symmetry_Int_Tables_number 35
_cell_length_a 5.151
_cell_length_b 5.166
_cell_length_c 7.389
_cell_angle_alpha 90.00
_cell_angle_beta 90.00
_cell_angle_gamma 90.00
loop_
_symmetry_equiv_pos_as_xyz
'x,y,z'
'-x,-y,z'
'-x,y,z'
'x,-y,z'
'x+1/2,y+1/2,z'
'-x+1/2,-y+1/2,z'
'-x+1/2,y+1/2,z'
'x+1/2,-y+1/2,z'
loop_
_atom_site_label
_atom_site_fract_x
_atom_site_fract_y
_atom_site_fract_z
Mg1 0.000 0.000 0.000
Pt1 0.000 0.500 0.878
Br1 0.000 0.000 0.644
Br2 0.000 0.500 0.212
```

***

VASP calculation (GGA-PBE) on an optimized crystal structure of Fe2AgPd7.

Output
calculated formation energy	0.45	eV/atom
E	-5.16	eV/atom

```
data_Fe2AgPd7
_symmetry_space_group_name_H-M 'C m m m'
_symmetry_Int_Tables_number 65
_symmetry_space_group_name_Hall '-C 2 2'
_cell_length_a 7.196
_cell_length_b 12.455
_cell_length_c 4.264
_cell_angle_alpha 90.00
_cell_angle_beta 90.00
_cell_angle_gamma 90.00
loop_
_atom_site_label
_atom_site_fract_x
_atom_site_fract_y
_atom_site_fract_z
Fe1 0.000 0.198 0.000
Ag1 0.000 0.500 0.500
Pd1 0.000 0.000 0.000
Pd2 0.000 0.284 0.500
Pd3 0.189 0.382 0.000
```

***

VASP calculation (GGA-PBE) on an optimized crystal structure of BeNbFeHg2.

Output
calculated formation energy	1.59	eV/atom
E	-2.99	eV/atom

```
data_BeNbFeHg2
_symmetry_space_group_name_H-M 'P 4/m m m'
_symmetry_Int_Tables_number 123
_symmetry_space_group_name_Hall '-P 4 2'
_cell_length_a 5.321
_cell_length_b 5.321
_cell_length_c 4.446
_cell_angle_alpha 90.00
_cell_angle_beta 90.00
_cell_angle_gamma 90.00
loop_
_atom_site_label
_atom_site_fract_x
_atom_site_fract_y
_atom_site_fract_z
Be1 0.000 0.000 0.000
Nb1 0.000 0.000 0.500
Fe1 0.500 0.500 0.000
Hg1 0.000 0.500 0.500
```

***

VASP calculation (GGA-PBE) on an optimized crystal structure of Fe4Pd2PtRh2.

Output
calculated formation energy	-0.05	eV/atom
E	-7.27	eV/atom

```
data_Fe4Pd2PtRh2
_symmetry_space_group_name_H-M 'C 1 2/m 1'
_symmetry_Int_Tables_number 12
_cell_length_a 11.648
_cell_length_b 3.738
_cell_length_c 6.092
_cell_angle_alpha 90.00
_cell_angle_beta 108.42
_cell_angle_gamma 90.00
loop_
_symmetry_equiv_pos_as_xyz
'x,y,z'
'-x,-y,-z'
'-x,y,-z'
'x,-y,z'
'x+1/2,y+1/2,z'
'-x+1/2,-y+1/2,-z'
'-x+1/2,y+1/2,-z'
'x+1/2,-y+1/2,z'
loop_
_atom_site_label
_atom_site_fract_x
_atom_site_fract_y
_atom_site_fract_z
Fe1 0.054 0.000 0.331
Fe2 0.226 0.500 0.335
Pd1 0.167 0.000 0.007
Pt1 0.000 0.500 0.000
Rh1 0.112 0.500 0.652
```

***

VASP calculation (GGA-PBE) on an optimized crystal structure of AgSbCl.

Output
E	-3.04	eV/atom
formation energy (no corrections)	-0.0952	eV/atom

```
data_AgSbCl
_symmetry_space_group_name_H-M 'P 3 m 1'
_symmetry_Int_Tables_number 156
_cell_length_a 3.5059
_cell_length_b 3.5059
_cell_length_c 6.9298
_cell_angle_alpha 90.00
_cell_angle_beta 90.00
_cell_angle_gamma 120.00
loop_
_symmetry_equiv_pos_as_xyz
'x,y,z'
'-y,x-y,z'
'-x+y,-x,z'
'-y,-x,z'
'-x+y,y,z'
'x,x-y,z'
loop_
_atom_site_label
_atom_site_fract_x
_atom_site_fract_y
_atom_site_fract_z
Ag1 0.0000 0.0000 0.0000
Sb1 0.3333 0.6667 0.6982
Cl1 0.6667 0.3333 0.2448
```

***

VASP calculation (GGA-PBE) on an optimized crystal structure of Sr3Ag3Pb.

Output
calculated formation energy	-0.32	eV/atom
E	-2.79	eV/atom

```
data_Sr3Ag3Pb
_symmetry_space_group_name_H-M 'C 1 2/m 1'
_symmetry_Int_Tables_number 12
_cell_length_a 12.106
_cell_length_b 4.785
_cell_length_c 16.143
_cell_angle_alpha 90.00
_cell_angle_beta 109.52
_cell_angle_gamma 90.00
loop_
_symmetry_equiv_pos_as_xyz
'x,y,z'
'-x,-y,-z'
'-x,y,-z'
'x,-y,z'
'x+1/2,y+1/2,z'
'-x+1/2,-y+1/2,-z'
'-x+1/2,y+1/2,-z'
'x+1/2,-y+1/2,z'
loop_
_atom_site_label
_atom_site_fract_x
_atom_site_fract_y
_atom_site_fract_z
Sr1 0.032 0.000 0.386
Sr2 0.107 0.000 0.924
Sr3 0.244 0.000 0.228
Ag1 0.028 0.500 0.226
Ag2 0.105 0.500 0.076
Ag3 0.125 0.500 0.540
Pb1 0.242 0.500 0.391
```

***

VASP calculation (GGA-PBE) on an optimized crystal structure of NaCd2InSn.

Output
calculated formation energy	-0.06	eV/atom
E	-2.04	eV/atom

```
data_NaCd2InSn
_symmetry_space_group_name_H-M 'C m c m'
_symmetry_Int_Tables_number 63
_symmetry_space_group_name_Hall '-C 2c 2'
_cell_length_a 5.027
_cell_length_b 15.561
_cell_length_c 6.520
_cell_angle_alpha 90.00
_cell_angle_beta 90.00
_cell_angle_gamma 90.00
loop_
_atom_site_label
_atom_site_fract_x
_atom_site_fract_y
_atom_site_fract_z
Na1 0.000 0.101 0.250
Cd1 0.000 0.304 0.506
In1 0.000 0.500 0.000
Sn1 0.000 0.120 0.750
```

***

VASP calculation (GGA-PBE) on an optimized crystal structure of AcZnNiPt.

Output
calculated formation energy	-0.64	eV/atom
E	-4.94	eV/atom

```
data_AcZnNiPt
_symmetry_space_group_name_H-M 'R 3 m'
_symmetry_Int_Tables_number 160
_symmetry_space_group_name_Hall 'R 3 -2"'
_cell_length_a 4.3583
_cell_length_b 4.3583
_cell_length_c 15.3738
_cell_angle_alpha 90.00
_cell_angle_beta 90.00
_cell_angle_gamma 120.00
loop_
_atom_site_label
_atom_site_fract_x
_atom_site_fract_y
_atom_site_fract_z
Ac1 0.0000 0.0000 0.0000
Zn1 0.0000 0.0000 0.4962
Ni1 0.0000 0.0000 0.8029
Pt1 0.0000 0.0000 0.2039
```

***

VASP calculation (GGA-PBE) on an optimized crystal structure of HfPbAu2Cl.

Output
E	-4.46	eV/atom
formation energy (no corrections)	-0.0445	eV/atom

```
data_HfPbAu2Cl
_symmetry_space_group_name_H-M 'P 4/m m m'
_symmetry_Int_Tables_number 123
_symmetry_space_group_name_Hall '-P 4 2'
_cell_length_a 5.351
_cell_length_b 5.351
_cell_length_c 4.803
_cell_angle_alpha 90.00
_cell_angle_beta 90.00
_cell_angle_gamma 90.00
loop_
_atom_site_label
_atom_site_fract_x
_atom_site_fract_y
_atom_site_fract_z
Hf1 0.000 0.000 0.000
Pb1 0.500 0.500 0.500
Au1 0.000 0.500 0.000
Cl1 0.000 0.000 0.500
```

***

VASP calculation (GGA-PBE) on an optimized crystal structure of Ti5GaH.

Output
E	-6.54	eV/atom

```
data_Ti5GaH
_symmetry_space_group_name_H-M 'C 1 2/c 1'
_symmetry_Int_Tables_number 15
_cell_length_a 9.352
_cell_length_b 6.781
_cell_length_c 7.304
_cell_angle_alpha 90.00
_cell_angle_beta 111.26
_cell_angle_gamma 90.00
loop_
_symmetry_equiv_pos_as_xyz
'x,y,z'
'-x,-y,-z'
'-x,y,-z+1/2'
'x,-y,z+1/2'
'x+1/2,y+1/2,z'
'-x+1/2,-y+1/2,-z'
'-x+1/2,y+1/2,-z+1/2'
'x+1/2,-y+1/2,z+1/2'
loop_
_atom_site_label
_atom_site_fract_x
_atom_site_fract_y
_atom_site_fract_z
Ti1 0.000 0.008 0.250
Ti2 0.118 0.326 0.968
Ti3 0.193 0.218 0.628
Ga1 0.000 0.376 0.250
H1 0.000 0.000 0.000
```